Zn2SnCS GGA-PBE relaxed; Fermi-level density of states = 2.67 states/eV/f.u.; uncorrected formation energy = 1.49 eV per atom; total energy = -2.493 eV per atom
1.0
4.5336 0.0000 0.0000
0.0000 5.5758 0.0000
0.0000 0.0000 4.5336
Zn C S Sn
2 1 1 1
Direct
0.5000 0.0000 0.0000
0.0000 0.0000 0.5000
0.5000 0.5000 0.5000
0.0000 0.0000 0.0000
0.0000 0.5000 0.0000

***

Sr2CS2 GGA-PBE relaxed; Fermi-level density of states = 1.64 states/eV/f.u.; excess energy over the best structure of this formula in the dataset = 0 kJ/mol of formula units; uncorrected formation energy = -0.25 eV per atom; total energy = -4.417 eV per atom
1.0
7.7278 0.0000 0.0000
0.0000 7.7278 0.0000
0.0000 0.0000 3.9459
S Sr C
4 4 2
Direct
0.1548 0.3452 0.0000
0.3452 0.8452 0.0000
0.6548 0.1548 0.0000
0.8452 0.6548 0.0000
0.6582 0.8418 0.5000
0.3418 0.1582 0.5000
0.8418 0.3418 0.5000
0.1582 0.6582 0.5000
0.5000 0.5000 0.0000
0.0000 0.0000 0.0000